(1)
4
Lattice="4.070 0.000 0.000 2.035 3.525 0.000 2.035 1.175 7.725" Properties=species:S:1:pos:R:3 comment="GGA-PBE RbTlS2, optimized geometry" m_tot_mub_per_atom=0.00 spacegroup="R3m (160)" e_form_raw_ev_per_atom=-0.518 e_above_lowest_polymorph_kj_per_mol_atoms=11.4 pbc="T T T"
S 2.035 1.175 6.232
S 2.035 1.175 1.487
Tl 6.105 3.525 7.712
Rb 4.070 2.350 3.881



(2)
8
Lattice="-2.847 2.063 3.795 -6.997 -1.050 -0.612 -3.951 -4.944 2.599" Properties=species:S:1:pos:R:3 comment="GGA-PBE ZnCd6Ga, optimized geometry" m_tot_mub_per_atom=0.00 spacegroup="P-1 (2)" ef_kcal_per_mol_atoms=1.166 e_above_lowest_polymorph_kj_per_mol_atoms=0.6 pbc="T T T"
Ga -6.898 -1.966 2.891
Cd -2.507 0.175 1.559
Cd -4.653 -1.789 0.995
Cd -11.289 -4.106 4.223
Cd -9.142 -2.143 4.787
Cd -9.111 -3.785 2.213
Cd -4.684 -0.146 3.569
Zn 0.000 0.000 0.000



(3)
8
Lattice="7.658 0.000 0.000 0.000 7.658 0.000 3.829 3.829 2.785" Properties=species:S:1:pos:R:3 comment="GGA-PBE YInOs2, optimized geometry" m_tot_mub_per_atom=0.00 spacegroup="I-42d (122)" ef_kcal_per_mol_atoms=19.847 pbc="T T T"
Os 1.781 5.743 0.696
Os 9.572 9.705 2.089
Os 5.743 5.610 2.089
Os 5.877 1.914 0.696
Y 3.829 3.829 0.000
Y 3.829 7.658 1.393
In 0.000 0.000 0.000
In 7.658 3.829 1.393



(4)
8
Lattice="3.608 0.000 0.000 0.000 3.608 0.000 0.000 0.000 17.333" Properties=species:S:1:pos:R:3 comment="GGA-PBE Pu4Bi3Sb, optimized geometry" m_tot_mub_per_atom=0.04 spacegroup="P4/mmm (123)" e_form_raw_ev_per_atom=-0.400 pbc="T T T"
Bi 1.804 1.804 4.247
Bi 1.804 1.804 13.086
Bi 1.804 1.804 8.667
Pu 0.000 0.000 6.459
Pu 0.000 0.000 1.995
Pu 0.000 0.000 15.338
Pu 0.000 0.000 10.874
Sb 1.804 1.804 0.000



(5)
4
Lattice="-0.342 1.711 -2.107 -0.638 -2.534 -0.810 -8.305 1.318 2.417" Properties=species:S:1:pos:R:3 comment="GGA-PBE LiSiW2, optimized geometry" m_tot_mub_per_atom=0.00 spacegroup="Cmm2 (35)" e_form_raw_ev_per_atom=0.164 pbc="T T T"
W -2.494 -0.094 -0.875
W -8.204 1.302 2.388
Li -4.281 0.680 1.246
Si -6.763 0.584 0.367



(6)
6
Lattice="4.987 0.000 0.391 0.000 4.423 0.000 -1.918 0.000 5.553" Properties=species:S:1:pos:R:3 comment="GGA-PBE PmVGe, optimized geometry" m_tot_mub_per_atom=0.00 spacegroup="P2_1/m (11)" ef_kcal_per_mol_atoms=-5.496 e_above_lowest_polymorph_kj_per_mol_atoms=0.0 pbc="T T T"
Pm 2.561 3.317 3.665
Pm 0.508 1.106 2.280
V 3.128 1.106 0.426
V -0.060 3.317 5.519
Ge 4.138 3.317 1.161
Ge -1.070 1.106 4.784



(7)
10
Lattice="-0.439 -3.522 -1.241 -1.003 -1.092 3.455 -18.434 3.765 -4.162" Properties=species:S:1:pos:R:3 comment="GGA-PBE Pr5MgAl4, optimized geometry" m_tot_mub_per_atom=0.00 spacegroup="P4/mmm (123)" ef_kcal_per_mol_atoms=-6.687 pbc="T T T"
Mg 0.000 0.000 0.000
Al -3.776 0.771 -0.852
Al -11.014 2.250 -2.486
Al -7.421 1.516 -1.675
Al -14.658 2.994 -3.309
Pr -13.531 0.310 -1.785
Pr -17.126 1.044 -2.597
Pr -6.346 -1.158 -0.163
Pr -2.751 -1.892 0.649
Pr -9.938 -0.424 -0.974



(8)
6
Lattice="0.000 4.029 4.029 4.029 0.000 4.029 4.029 4.029 0.000" Properties=species:S:1:pos:R:3 comment="GGA-PBE ZnIn4W, optimized geometry" m_tot_mub_per_atom=0.00 spacegroup="F-43m (216)" ef_kcal_per_mol_atoms=19.937 pbc="T T T"
In 3.021 3.021 3.021
In 3.021 5.037 5.037
In 5.037 5.037 3.021
In 5.037 3.021 5.037
W 6.044 6.044 6.044
Zn 0.000 0.000 0.000



(9)
4
Lattice="4.701 0.000 0.000 -2.351 4.071 0.006 0.000 -0.006 3.747" Properties=species:S:1:pos:R:3 comment="GGA-PBE PrSbHRh, optimized geometry" m_tot_mub_per_atom=0.00 spacegroup="P-6m2 (187)" final_energy_ev_per_atom=-5.711 pbc="T T T"
H 0.000 1.941 1.162
Rh 0.000 1.938 3.037
Sb 2.350 3.295 3.040
Pr 2.351 0.584 1.163



(10)
4
Lattice="4.292 0.000 0.000 2.146 3.717 0.000 2.146 1.239 3.504" Properties=species:S:1:pos:R:3 comment="GGA-PBE TiBeNbCr, optimized geometry" m_tot_mub_per_atom=0.00 spacegroup="F-43m (216)" ef_kcal_per_mol_atoms=0.460 pbc="T T T"
Ti 0.000 0.000 0.000
Be 2.146 1.239 0.876
Nb 4.292 2.478 1.752
Cr 6.437 3.717 2.628



(11)
4
Lattice="-6.992 -0.344 -8.082 -5.766 -3.024 -8.481 -8.007 -2.687 -6.557" Properties=species:S:1:pos:R:3 comment="GGA-PBE AlAs2Au, optimized geometry" m_tot_mub_per_atom=0.00 spacegroup="R-3m (166)" ef_kcal_per_mol_atoms=3.767 pbc="T T T"
Au -5.191 -1.514 -5.780
As -0.415 -0.121 -0.462
As -9.968 -2.906 -11.098
Al -15.573 -4.541 -17.340



(12)
5
Lattice="-1.181 -0.515 5.256 -5.139 -1.126 -1.266 1.215 -5.273 -0.243" Properties=species:S:1:pos:R:3 comment="GGA-PBE SbP2PbCl, optimized geometry" m_tot_mub_per_atom=0.00 spacegroup="P4/mmm (123)" e_form_raw_ev_per_atom=0.486 e_above_lowest_polymorph_kj_per_mol_atoms=0.0 pbc="T T T"
P -0.591 -0.257 2.628
P -2.570 -0.563 -0.633
Pb -2.553 -3.457 1.873
Sb 0.000 0.000 0.000
Cl 0.608 -2.637 -0.122



(13)
20
Lattice="8.584 -1.624 -1.685 1.181 8.908 -2.255 1.181 -2.584 8.818" Properties=species:S:1:pos:R:3 comment="GGA-PBE LaPm6Dy2Mg, optimized geometry" m_tot_mub_per_atom=0.00 spacegroup="C2/c (15)" ef_kcal_per_mol_atoms=2.615 pbc="T T T"
Pm 4.461 3.337 0.454
Pm 5.799 5.868 -1.605
Pm 9.439 5.710 -1.770
Pm 1.507 -1.010 6.647
Pm 2.193 5.182 2.368
Pm 3.469 1.945 6.890
Pm 6.485 1.363 4.424
Pm 5.147 -1.168 6.483
Pm 3.185 -1.301 3.522
Pm 8.753 -0.482 2.509
Pm 7.761 6.001 1.356
Pm 7.477 2.756 -2.012
Dy 1.126 2.255 1.107
Dy 5.527 4.489 3.426
Dy 5.419 0.211 1.452
Dy 9.819 2.445 3.771
La 7.619 -3.401 7.169
La 3.327 8.102 -2.291
Mg 3.327 2.104 3.489
Mg 7.619 2.597 1.389



(14)
4
Lattice="5.124 0.000 0.000 2.562 4.438 0.000 2.562 1.479 4.184" Properties=species:S:1:pos:R:3 comment="GGA-PBE HoCdSbAu, optimized geometry" m_tot_mub_per_atom=0.00 spacegroup="F-43m (216)" e_form_raw_ev_per_atom=-0.426 pbc="T T T"
Cd 7.686 4.438 3.138
Sb 5.124 2.959 2.092
Au 0.000 0.000 0.000
Ho 2.562 1.479 1.046



(15)
11
Lattice="7.210 -0.834 -0.633 -1.361 7.271 0.348 -1.361 2.293 6.908" Properties=species:S:1:pos:R:3 comment="GGA-PBE TbSm8Co2, optimized geometry" m_tot_mub_per_atom=0.00 spacegroup="C2/m (12)" ef_kcal_per_mol_atoms=1.971 pbc="T T T"
Co 2.176 7.227 5.483
Co 2.312 1.503 1.140
Sm 4.081 5.785 4.390
Sm -0.126 8.077 6.128
Sm 0.407 2.944 2.234
Sm 3.845 2.175 3.686
Sm 4.614 0.653 0.496
Sm 0.644 4.594 5.522
Sm 3.845 4.135 1.102
Sm 0.644 6.555 2.938
Tb 0.000 0.000 0.000



(16)
5
Lattice="4.158 0.000 0.000 0.000 4.158 0.000 0.000 0.000 8.219" Properties=species:S:1:pos:R:3 comment="GGA-PBE Sc3TlN, optimized geometry" m_tot_mub_per_atom=0.22 spacegroup="P4mm (99)" e_form_raw_ev_per_atom=-0.074 pbc="T T T"
Tl 0.000 0.000 1.219
N 2.079 2.079 3.424
Sc 0.000 0.000 6.444
Sc 2.079 0.000 3.759
Sc 0.000 2.079 3.759



(17)
3
Lattice="4.902 0.000 0.000 -2.451 4.245 0.000 0.000 0.000 2.923" Properties=species:S:1:pos:R:3 comment="GGA-PBE SrTaRe, optimized geometry" m_tot_mub_per_atom=0.00 spacegroup="P3m1 (156)" ef_kcal_per_mol_atoms=22.834 e_above_lowest_polymorph_kj_per_mol_atoms=49.5 pbc="T T T"
Re 0.000 0.000 2.783
Ta 2.451 1.415 2.089
Sr 0.000 2.830 0.974



(18)
10
Lattice="-6.042 4.243 0.391 -2.004 -2.230 -6.759 -2.237 -3.348 1.768" Properties=species:S:1:pos:R:3 comment="GGA-PBE Sn2Hg2Pd, optimized geometry" m_tot_mub_per_atom=0.00 spacegroup="P4/mbm (127)" ef_kcal_per_mol_atoms=2.324 e_above_lowest_polymorph_kj_per_mol_atoms=12.9 pbc="T T T"
Sn -3.465 -0.634 -0.116
Sn -3.465 -2.453 -3.560
Sn -6.818 1.118 -1.040
Sn -6.818 -0.700 -4.484
Pd -4.023 1.007 -3.184
Pd 0.000 0.000 0.000
Hg -3.861 -0.400 -5.642
Hg -6.460 2.192 -4.022
Hg -1.586 -0.179 -2.345
Hg -4.185 2.413 -0.725



(19)
7
Lattice="-1.211 -4.353 -2.519 5.013 -0.838 -0.963 2.415 -6.003 3.901" Properties=species:S:1:pos:R:3 comment="GGA-PBE CdGa4Ag2, optimized geometry" m_tot_mub_per_atom=0.00 spacegroup="I4/mmm (139)" ef_kcal_per_mol_atoms=9.182 e_above_lowest_polymorph_kj_per_mol_atoms=33.8 pbc="T T T"
Ag 2.009 -3.314 -0.551
Ag 4.208 -7.880 0.970
Cd 0.000 0.000 0.000
Ga 4.011 -6.577 -1.186
Ga 2.206 -4.617 1.605
Ga -0.606 -2.177 -1.260
Ga 2.507 -0.419 -0.481



(20)
10
Lattice="8.752 0.000 0.000 0.000 8.752 0.000 0.000 0.000 3.842" Properties=species:S:1:pos:R:3 comment="GGA-PBE Ca2Hg2Pb, optimized geometry" m_tot_mub_per_atom=0.00 spacegroup="P4/mbm (127)" ef_kcal_per_mol_atoms=-8.140 e_above_lowest_polymorph_kj_per_mol_atoms=11.5 pbc="T T T"
Hg 5.603 7.526 1.921
Hg 1.226 5.603 1.921
Hg 7.526 3.150 1.921
Hg 3.150 1.226 1.921
Pb 0.000 0.000 0.000
Pb 4.376 4.376 0.000
Ca 5.740 1.364 0.000
Ca 1.364 3.013 0.000
Ca 7.389 5.740 0.000
Ca 3.013 7.389 0.000